A crystal of CaReSb relaxed with PBEsol, computed with meta-GGA SCAN.

## Properties
- space group = I4mm (107)
- DOS at the Fermi energy (states/eV per cell) = 0.9
- formation energy from raw total energies (eV/atom) = 0.097
- offset from the most stable computed form (meV/atom) = 0.0

Cell: 3.4227 3.4227 5.9588 Å, 106.69 106.69 90.00°
Sites, in units of the cell vectors:
Re 0.6926 0.6926 0.3852
Ca 0.0065 0.0065 0.0130
Sb 0.3009 0.3009 0.6018